Computed, not measured: a geometry-optimized Ac2PmReN4 structure at the PBE level of DFT.

abc: 6.608 6.608 12.816
angles: 90.00 90.00 148.43
Positions (direct):
Ac 0.133 0.867 0.540
Ac 0.133 0.867 0.960
Ac 0.867 0.133 0.040
Ac 0.867 0.133 0.460
Pm 0.371 0.629 0.750
Pm 0.629 0.371 0.250
Re 0.344 0.656 0.250
Re 0.656 0.344 0.750
N 0.091 0.909 0.750
N 0.223 0.777 0.146
N 0.223 0.777 0.354
N 0.500 0.500 0.000
N 0.500 0.500 0.500
N 0.777 0.223 0.646
N 0.777 0.223 0.854
N 0.909 0.091 0.250

Computed properties:
volume: 18.31 A^3/atom
space group: Cmcm
ΔE_f (raw): -0.671 eV/atom